Below is an optimized crystal structure of Rb3PuTh2Se6, with properties calculated at the PBE level.

```
Rb3PuTh2Se6
1.0
3.745 -6.486 0.000
3.745 6.486 0.000
-2.497 0.000 8.074
Rb Pu Th Se
3 1 2 6
Direct
0.000 0.000 0.000 Rb
0.335 0.665 0.000 Rb
0.665 0.335 0.000 Rb
0.500 0.500 0.500 Pu
0.167 0.833 0.500 Th
0.833 0.167 0.500 Th
0.095 0.432 0.297 Se
0.230 0.230 0.702 Se
0.432 0.095 0.297 Se
0.568 0.905 0.703 Se
0.770 0.770 0.298 Se
0.905 0.568 0.703 Se
```

Output
Energy ... -0.437 Ry/atom
Density of states at the Fermi level ... 17.072 states/eV/cell
Raw formation energy ... -1.528 eV/atom
Space group ... C2/m
Total magnetization ... 6.8 μB per formula unit

Below is an optimized crystal structure of Rb4Pu3ThSe8, with properties calculated at the PBE level.

```
Rb4Pu3ThSe8
1.0
4.346 2.509 7.986
-4.346 2.509 7.986
0.000 -5.018 7.986
Rb Pu Th Se
4 3 1 8
Direct
0.000 0.000 0.000 Rb
0.000 0.500 0.500 Rb
0.500 0.000 0.500 Rb
0.500 0.500 0.000 Rb
0.000 0.000 0.500 Pu
0.000 0.500 0.000 Pu
0.500 0.000 0.000 Pu
0.500 0.500 0.500 Th
0.231 0.231 0.231 Se
0.237 0.731 0.731 Se
0.269 0.269 0.763 Se
0.269 0.763 0.269 Se
0.731 0.237 0.731 Se
0.731 0.731 0.237 Se
0.763 0.269 0.269 Se
0.769 0.769 0.769 Se
```

Output
Energy ... -0.488 Ry/atom
Density of states at the Fermi level ... 36.638 states/eV/cell
Raw formation energy ... -1.505 eV/atom
Space group ... R-3m
Total magnetization ... 16.0 μB per formula unit

Below is an optimized crystal structure of Rb2PuThSe4, with properties calculated at the PBE level.

```
Rb2PuThSe4
1.0
7.509 0.000 0.000
0.000 4.354 0.000
-2.512 0.000 8.031
Rb Pu Th Se
2 1 1 4
Direct
0.000 0.000 0.000 Rb
0.500 0.500 0.000 Rb
0.000 0.500 0.500 Pu
0.500 0.000 0.500 Th
0.238 0.000 0.698 Se
0.271 0.500 0.299 Se
0.729 0.500 0.701 Se
0.762 0.000 0.302 Se
```

Output
Energy ... -0.458 Ry/atom
Density of states at the Fermi level ... 13.993 states/eV/cell
Raw formation energy ... -1.527 eV/atom
Space group ... P2/m
Total magnetization ... 6.0 μB per formula unit

Below is an optimized crystal structure of Rb3Pu2ThSe6, with properties calculated at the PBE level.

```
Rb3Pu2ThSe6
1.0
3.774 -6.536 0.000
3.774 6.536 0.000
-2.515 0.000 7.991
Rb Pu Th Se
3 2 1 6
Direct
0.000 0.000 0.000 Rb
0.332 0.668 0.000 Rb
0.668 0.332 0.000 Rb
0.167 0.833 0.500 Pu
0.833 0.167 0.500 Pu
0.500 0.500 0.500 Th
0.104 0.434 0.302 Se
0.237 0.237 0.698 Se
0.434 0.104 0.302 Se
0.566 0.896 0.698 Se
0.763 0.763 0.302 Se
0.896 0.566 0.698 Se
```

Output
Energy ... -0.478 Ry/atom
Density of states at the Fermi level ... 28.339 states/eV/cell
Raw formation energy ... -1.517 eV/atom
Space group ... C2/m
Total magnetization ... 11.0 μB per formula unit

Below is an optimized crystal structure of Rb4PuTh3Se8, with properties calculated at the PBE level.

```
Rb4PuTh3Se8
1.0
4.309 2.488 8.096
-4.309 2.488 8.096
0.000 -4.976 8.096
Rb Pu Th Se
4 1 3 8
Direct
0.000 0.000 0.000 Rb
0.000 0.500 0.500 Rb
0.500 0.000 0.500 Rb
0.500 0.500 0.000 Rb
0.500 0.500 0.500 Pu
0.000 0.000 0.500 Th
0.000 0.500 0.000 Th
0.500 0.000 0.000 Th
0.231 0.736 0.736 Se
0.235 0.235 0.235 Se
0.264 0.264 0.769 Se
0.264 0.769 0.264 Se
0.736 0.231 0.736 Se
0.736 0.736 0.231 Se
0.765 0.765 0.765 Se
0.769 0.264 0.264 Se
```

Output
Energy ... -0.426 Ry/atom
Density of states at the Fermi level ... 20.305 states/eV/cell
Raw formation energy ... -1.522 eV/atom
Space group ... R-3m
Total magnetization ... 6.6 μB per formula unit

Below is an optimized crystal structure of Rb4Pu3TiSe8, with properties calculated at the PBE level.

```
Rb4Pu3TiSe8
1.0
4.200 2.425 7.966
-4.200 2.425 7.966
0.000 -4.850 7.966
Rb Pu Ti Se
4 3 1 8
Direct
0.000 0.000 0.000 Rb
0.000 0.500 0.500 Rb
0.500 0.000 0.500 Rb
0.500 0.500 0.000 Rb
0.000 0.000 0.500 Pu
0.000 0.500 0.000 Pu
0.500 0.000 0.000 Pu
0.500 0.500 0.500 Ti
0.233 0.233 0.233 Se
0.250 0.719 0.719 Se
0.281 0.281 0.750 Se
0.281 0.750 0.281 Se
0.719 0.250 0.719 Se
0.719 0.719 0.250 Se
0.750 0.281 0.281 Se
0.767 0.767 0.767 Se
```

Output
Energy ... -0.479 Ry/atom
Density of states at the Fermi level ... 34.120 states/eV/cell
Raw formation energy ... -1.356 eV/atom
Space group ... R-3m
Total magnetization ... 16.0 μB per formula unit

One value per record, in order, for theoretical density: 6.1, 6.2, 6.1, 6.1, 6.1, 6.0 g/cm3.